[1]
Material: CeHoEr3
Method: DFT, PBE-GGA
State: optimized geometry

Summary:
Energy above the most stable polymorph in this dataset in eV/atom: 0.272

Cell lengths 6.279, 6.279, 11.012 Å; angles 90.08, 90.08, 128.62 degrees
Fractional positions:
Ce 0.132 0.868 0.000
Ce 0.868 0.132 0.000
Ho 0.156 0.844 0.500
Ho 0.844 0.156 0.500
Er 0.002 0.002 0.255
Er 0.336 0.661 0.761
Er 0.339 0.664 0.239
Er 0.661 0.336 0.761
Er 0.664 0.339 0.239
Er 0.998 0.998 0.745

=====

[2]
Material: CeHo3Er2
Method: DFT, PBE-GGA
State: optimized geometry

Cell lengths 6.127, 6.127, 11.399 Å; angles 90.00, 90.00, 59.97 degrees
Fractional positions:
Ce 0.167 0.833 0.750
Ce 0.833 0.167 0.250
Ho 0.165 0.165 0.000
Ho 0.165 0.165 0.500
Ho 0.500 0.500 0.000
Ho 0.500 0.500 0.500
Ho 0.835 0.835 0.000
Ho 0.835 0.835 0.500
Er 0.167 0.500 0.250
Er 0.500 0.167 0.750
Er 0.500 0.833 0.250
Er 0.833 0.500 0.750

=====

[3]
Material: Ce4HoEr
Method: DFT, PBE-GGA
State: optimized geometry

Cell lengths 6.295, 6.295, 6.295 Å; angles 60.00, 60.00, 60.00 degrees
Fractional positions:
Ce 0.125 0.125 0.125
Ce 0.125 0.125 0.626
Ce 0.125 0.626 0.125
Ce 0.626 0.125 0.125
Ho 0.500 0.500 0.500
Er 0.750 0.750 0.750

=====

[4]
Material: CeHo3Er2
Method: DFT, PBE-GGA
State: optimized geometry

Cell lengths 4.982, 14.930, 4.971 Å; angles 90.00, 90.00, 90.00 degrees
Fractional positions:
Ce 0.000 0.000 0.000
Ce 0.500 0.500 0.000
Ho 0.000 0.165 0.500
Ho 0.000 0.500 0.500
Ho 0.000 0.835 0.500
Ho 0.500 0.000 0.500
Ho 0.500 0.335 0.500
Ho 0.500 0.665 0.500
Er 0.000 0.333 0.000
Er 0.000 0.667 0.000
Er 0.500 0.167 0.000
Er 0.500 0.833 0.000

=====

[5]
Material: CeHo12Er6
Method: DFT, PBE-GGA
State: optimized geometry

Summary:
Energy above the most stable polymorph in this dataset in eV/atom: 0.000

Cell lengths 8.442, 8.442, 8.442 Å; angles 88.41, 88.41, 88.41 degrees
Fractional positions:
Ce 0.000 0.000 0.000
Ho 0.011 0.355 0.204
Ho 0.204 0.011 0.355
Ho 0.224 0.563 0.458
Ho 0.355 0.204 0.011
Ho 0.437 0.542 0.776
Ho 0.458 0.224 0.563
Ho 0.542 0.776 0.437
Ho 0.563 0.458 0.224
Ho 0.645 0.796 0.989
Ho 0.776 0.437 0.542
Ho 0.796 0.989 0.645
Ho 0.989 0.645 0.796
Er 0.093 0.257 0.693
Er 0.257 0.693 0.093
Er 0.307 0.907 0.743
Er 0.693 0.093 0.257
Er 0.743 0.307 0.907
Er 0.907 0.743 0.307

=====

[6]
Material: CeHo3Er4
Method: DFT, PBE-GGA
State: optimized geometry

Summary:
Energy above the most stable polymorph in this dataset in eV/atom: 0.008

Cell lengths 3.516, 7.028, 10.510 Å; angles 70.52, 89.98, 89.93 degrees
Fractional positions:
Ce 0.000 0.000 0.000
Ho 0.000 0.500 0.000
Ho 0.500 0.371 0.751
Ho 0.500 0.629 0.249
Er 0.001 0.749 0.503
Er 0.500 0.122 0.249
Er 0.500 0.878 0.751
Er 0.999 0.251 0.497

=====

[7]
Material: CeHo3Er6
Method: DFT, PBE-GGA
State: optimized geometry

Summary:
Energy above the most stable polymorph in this dataset in eV/atom: 0.225

Cell lengths 7.769, 7.769, 8.791 Å; angles 120.98, 120.98, 48.82 degrees
Fractional positions:
Ce 0.000 0.000 0.000
Ho 0.000 0.000 0.500
Ho 0.494 0.494 0.769
Ho 0.506 0.506 0.231
Er 0.008 0.496 0.824
Er 0.208 0.208 0.452
Er 0.496 0.008 0.824
Er 0.504 0.992 0.176
Er 0.792 0.792 0.548
Er 0.992 0.504 0.176

=====

[8]
Material: CeHo5Er4
Method: DFT, PBE-GGA
State: optimized geometry

Summary:
Energy above the most stable polymorph in this dataset in eV/atom: 0.184

Cell lengths 7.929, 7.929, 7.929 Å; angles 97.66, 97.66, 137.16 degrees
Fractional positions:
Ce 0.000 0.000 0.000
Ho 0.052 0.052 0.627
Ho 0.052 0.425 0.000
Ho 0.425 0.052 0.000
Ho 0.425 0.425 0.373
Ho 0.531 0.531 0.000
Er 0.067 0.741 0.327
Er 0.414 0.741 0.673
Er 0.741 0.067 0.327
Er 0.741 0.414 0.673

=====

[9]
Material: CeHo7Er12
Method: DFT, PBE-GGA
State: optimized geometry

Summary:
Energy above the most stable polymorph in this dataset in eV/atom: 0.566

Cell lengths 9.715, 9.715, 9.715 Å; angles 109.47, 109.47, 109.47 degrees
Fractional positions:
Ce 0.000 0.000 0.000
Ho 0.000 0.000 0.500
Ho 0.000 0.500 0.000
Ho 0.000 0.500 0.500
Ho 0.500 0.000 0.000
Ho 0.500 0.000 0.500
Ho 0.500 0.500 0.000
Ho 0.500 0.500 0.500
Er 0.000 0.259 0.741
Er 0.000 0.741 0.259
Er 0.259 0.000 0.741
Er 0.259 0.259 0.517
Er 0.259 0.517 0.259
Er 0.259 0.741 0.000
Er 0.483 0.741 0.741
Er 0.517 0.259 0.259
Er 0.741 0.000 0.259
Er 0.741 0.259 0.000
Er 0.741 0.483 0.741
Er 0.741 0.741 0.483

=====

[10]
Material: CeHo2Er6
Method: DFT, PBE-GGA
State: optimized geometry

Summary:
Energy above the most stable polymorph in this dataset in eV/atom: 0.000

Cell lengths 6.507, 6.507, 13.185 Å; angles 95.62, 95.62, 94.39 degrees
Fractional positions:
Ce 0.000 0.000 0.250
Ce 0.000 0.000 0.750
Ho 0.154 0.491 0.676
Ho 0.491 0.154 0.176
Ho 0.509 0.846 0.824
Ho 0.846 0.509 0.324
Er 0.159 0.823 0.511
Er 0.177 0.841 0.989
Er 0.178 0.512 0.156
Er 0.329 0.330 0.916
Er 0.330 0.329 0.416
Er 0.488 0.822 0.344
Er 0.512 0.178 0.656
Er 0.670 0.671 0.584
Er 0.671 0.670 0.084
Er 0.822 0.488 0.844
Er 0.823 0.159 0.011
Er 0.841 0.177 0.489

=====

[11]
Material: CeHo6Er
Method: DFT, PBE-GGA
State: optimized geometry

Summary:
Energy above the most stable polymorph in this dataset in eV/atom: 0.181

Cell lengths 6.456, 6.719, 6.835 Å; angles 118.92, 102.35, 90.61 degrees
Fractional positions:
Ce 0.000 0.000 0.000
Ho 0.230 0.904 0.479
Ho 0.250 0.449 0.001
Ho 0.267 0.428 0.522
Ho 0.733 0.572 0.478
Ho 0.750 0.551 0.999
Ho 0.770 0.096 0.521
Er 0.500 0.000 0.000

=====

[12]
Material: Ce2HoEr8
Method: DFT, PBE-GGA
State: optimized geometry

Cell lengths 8.990, 8.990, 5.797 Å; angles 104.79, 104.79, 120.85 degrees
Fractional positions:
Ce 0.196 0.804 0.000
Ce 0.804 0.196 0.000
Ho 0.500 0.500 0.500
Er 0.078 0.078 0.297
Er 0.172 0.402 0.834
Er 0.289 0.711 0.500
Er 0.402 0.172 0.834
Er 0.598 0.828 0.166
Er 0.711 0.289 0.500
Er 0.828 0.598 0.166
Er 0.922 0.922 0.703

=====

[13]
Material: CeHo7Er4
Method: DFT, PBE-GGA
State: optimized geometry

Cell lengths 9.928, 9.928, 5.904 Å; angles 90.07, 90.07, 40.23 degrees
Fractional positions:
Ce 0.000 0.000 0.000
Ho 0.000 0.000 0.500
Ho 0.187 0.187 0.253
Ho 0.286 0.286 0.756
Ho 0.461 0.461 0.750
Ho 0.539 0.539 0.250
Ho 0.714 0.714 0.244
Ho 0.813 0.813 0.747
Er 0.131 0.595 0.253
Er 0.405 0.869 0.747
Er 0.595 0.131 0.253
Er 0.869 0.405 0.747

=====

[14]
Material: Ce2HoEr7
Method: DFT, PBE-GGA
State: optimized geometry

Cell lengths 6.077, 7.007, 7.851 Å; angles 77.02, 74.93, 73.52 degrees
Fractional positions:
Ce 0.193 0.304 0.101
Ce 0.807 0.696 0.899
Ho 0.000 0.500 0.500
Er 0.000 0.000 0.500
Er 0.201 0.799 0.098
Er 0.399 0.600 0.704
Er 0.401 0.099 0.701
Er 0.599 0.901 0.299
Er 0.601 0.400 0.296
Er 0.799 0.201 0.902

=====

[15]
Material: CeHoEr3
Method: DFT, PBE-GGA
State: optimized geometry

Summary:
Energy above the most stable polymorph in this dataset in eV/atom: 0.000

Cell lengths 8.508, 8.508, 9.859 Å; angles 96.43, 96.43, 117.85 degrees
Fractional positions:
Ce 0.190 0.282 0.043
Ce 0.282 0.190 0.543
Ce 0.718 0.810 0.457
Ce 0.810 0.718 0.957
Ho 0.011 0.989 0.250
Ho 0.400 0.600 0.750
Ho 0.600 0.400 0.250
Ho 0.989 0.011 0.750
Er 0.026 0.581 0.178
Er 0.117 0.740 0.551
Er 0.260 0.883 0.949
Er 0.302 0.502 0.380
Er 0.419 0.974 0.322
Er 0.498 0.698 0.120
Er 0.502 0.302 0.880
Er 0.581 0.026 0.678
Er 0.698 0.498 0.620
Er 0.740 0.117 0.051
Er 0.883 0.260 0.449
Er 0.974 0.419 0.822

=====

[16]
Material: CeHoEr6
Method: DFT, PBE-GGA
State: optimized geometry

Summary:
Energy above the most stable polymorph in this dataset in eV/atom: 0.000

Cell lengths 8.721, 9.221, 6.378 Å; angles 90.00, 98.00, 90.00 degrees
Fractional positions:
Ce 0.000 0.000 0.000
Ce 0.500 0.500 0.000
Ho 0.000 0.000 0.500
Ho 0.500 0.500 0.500
Er 0.152 0.500 0.198
Er 0.166 0.319 0.708
Er 0.166 0.681 0.708
Er 0.334 0.181 0.292
Er 0.334 0.819 0.292
Er 0.348 0.000 0.802
Er 0.652 0.000 0.198
Er 0.666 0.181 0.708
Er 0.666 0.819 0.708
Er 0.834 0.319 0.292
Er 0.834 0.681 0.292
Er 0.848 0.500 0.802

=====

[17]
Material: Ce2Ho5Er4
Method: DFT, PBE-GGA
State: optimized geometry

Summary:
Energy above the most stable polymorph in this dataset in eV/atom: 0.329

Cell lengths 14.447, 14.447, 14.447 Å; angles 166.35, 149.49, 33.56 degrees
Fractional positions:
Ce 0.103 0.103 0.000
Ce 0.897 0.897 0.000
Ho 0.000 0.500 0.500
Ho 0.062 0.804 0.257
Ho 0.453 0.196 0.257
Ho 0.547 0.804 0.743
Ho 0.938 0.196 0.743
Er 0.319 0.000 0.319
Er 0.398 0.398 0.000
Er 0.602 0.602 0.000
Er 0.681 0.000 0.681

=====

[18]
Material: Ce2Ho12Er5
Method: DFT, PBE-GGA
State: optimized geometry

Summary:
Energy above the most stable polymorph in this dataset in eV/atom: 0.040

Cell lengths 8.924, 8.924, 8.532 Å; angles 92.07, 92.07, 61.59 degrees
Fractional positions:
Ce 0.149 0.851 0.000
Ce 0.851 0.149 0.000
Ho 0.059 0.676 0.316
Ho 0.060 0.060 0.342
Ho 0.175 0.533 0.762
Ho 0.324 0.941 0.684
Ho 0.432 0.432 0.129
Ho 0.467 0.825 0.238
Ho 0.533 0.175 0.762
Ho 0.568 0.568 0.871
Ho 0.676 0.059 0.316
Ho 0.825 0.467 0.238
Ho 0.940 0.940 0.658
Ho 0.941 0.324 0.684
Er 0.213 0.213 0.038
Er 0.270 0.270 0.435
Er 0.500 0.500 0.500
Er 0.730 0.730 0.565
Er 0.787 0.787 0.962

=====

[19]
Material: CeHo6Er8
Method: DFT, PBE-GGA
State: optimized geometry

Summary:
Energy above the most stable polymorph in this dataset in eV/atom: 0.000

Cell lengths 8.525, 8.525, 8.525 Å; angles 63.13, 63.13, 63.13 degrees
Fractional positions:
Ce 0.000 0.000 0.000
Ho 0.108 0.228 0.540
Ho 0.228 0.540 0.108
Ho 0.460 0.892 0.772
Ho 0.540 0.108 0.228
Ho 0.772 0.460 0.892
Ho 0.892 0.772 0.460
Er 0.112 0.750 0.718
Er 0.250 0.282 0.888
Er 0.282 0.888 0.250
Er 0.423 0.423 0.423
Er 0.577 0.577 0.577
Er 0.718 0.112 0.750
Er 0.750 0.718 0.112
Er 0.888 0.250 0.282

=====

[20]
Material: CeHoEr6
Method: DFT, PBE-GGA
State: optimized geometry

Summary:
Energy above the most stable polymorph in this dataset in eV/atom: 0.061

Cell lengths 6.434, 6.694, 6.828 Å; angles 118.64, 103.02, 90.60 degrees
Fractional positions:
Ce 0.000 0.000 0.000
Ho 0.500 0.000 0.000
Er 0.230 0.904 0.477
Er 0.249 0.451 0.000
Er 0.267 0.428 0.521
Er 0.733 0.572 0.479
Er 0.751 0.549 0.000
Er 0.770 0.096 0.523

=====

Electronic total energy, respectively: -4.413; -4.747; -5.269; -4.745; -4.488; -4.700; -4.352; -4.431; -3.888; -4.630; -4.519; -4.604; -4.537; -4.782; -4.686; -4.569; -4.386; -4.573; -4.528; -4.508 eV per atom.